The following is a DFT calculation (SCAN) of a PBEsol-optimized structure of YTaTl2.

Cell: 5.3458 5.3458 5.3458 Å, 129.67 129.67 73.94°
Fractional positions:
Y: 0.0000 0.0000 0.0000
Ta: 0.5000 0.5000 0.0000
Tl: 0.2500 0.7500 0.5000
Tl: 0.7500 0.2500 0.5000

Summary:
- E_form (eV per atom) = 0.116

=====

The following is a DFT calculation (SCAN) of a PBEsol-optimized structure of DyEr.

Cell: 3.5154 3.5154 5.4907 Å, 90.00 90.00 120.00°
Fractional positions:
Dy: 0.0000 0.0000 0.0000
Er: 0.3333 0.6667 0.5000

Summary:
- E_form (eV per atom) = 0.006

=====

The following is a DFT calculation (SCAN) of a PBEsol-optimized structure of Cr2Rh.

Cell: 4.0355 4.0355 2.5505 Å, 90.00 90.00 120.00°
Fractional positions:
Cr: 0.3333 0.6667 0.0000
Cr: 0.6667 0.3333 0.0000
Rh: 0.0000 0.0000 0.5000

Summary:
- E_form (eV per atom) = 0.093

=====

The following is a DFT calculation (SCAN) of a PBEsol-optimized structure of Na2PbSe2.

Cell: 7.7729 7.7729 7.7729 Å, 149.15 149.15 44.20°
Fractional positions:
Na: 0.2500 0.7500 0.5000
Na: 0.7500 0.2500 0.5000
Pb: 0.0000 0.0000 0.0000
Se: 0.3847 0.3847 0.0000
Se: 0.6153 0.6153 0.0000

Summary:
- E (eV per atom) = -25.571

=====

The following is a DFT calculation (SCAN) of a PBEsol-optimized structure of Sr2Mo.

Cell: 6.7563 6.7563 6.7563 Å, 97.40 97.40 137.94°
Fractional positions:
Sr: 0.1594 0.6594 0.8187
Sr: 0.3406 0.1594 0.5000
Sr: 0.6594 0.8406 0.5000
Sr: 0.8406 0.3406 0.1813
Mo: 0.2500 0.2500 0.0000
Mo: 0.7500 0.7500 0.0000

Summary:
- energy above the most stable polymorph in this dataset (eV/atom) = 0.0000
- E_form (eV per atom) = 0.800

=====

The following is a DFT calculation (SCAN) of a PBEsol-optimized structure of La3TiIr.

Cell: 5.5275 5.5275 5.5275 Å, 90.00 90.00 90.00°
Fractional positions:
La: 0.0000 0.0000 0.5000
La: 0.0000 0.5000 0.0000
La: 0.5000 0.0000 0.0000
Ti: 0.5000 0.5000 0.5000
Ir: 0.0000 0.0000 0.0000

Summary:
- E_form (eV per atom) = -0.087

=====

The following is a DFT calculation (SCAN) of a PBEsol-optimized structure of Ba5Al.

Cell: 4.2039 4.2039 16.8928 Å, 90.00 90.00 90.00°
Fractional positions:
Ba: 0.0000 0.0000 0.0000
Ba: 0.0000 0.0000 0.3900
Ba: 0.0000 0.0000 0.6100
Ba: 0.5000 0.5000 0.1912
Ba: 0.5000 0.5000 0.8088
Al: 0.5000 0.5000 0.5000

Summary:
- energy above the most stable polymorph in this dataset (eV/atom) = 0.0031
- E_form (eV per atom) = -0.009

=====

The following is a DFT calculation (SCAN) of a PBEsol-optimized structure of SrLi2TlCl.

Cell: 6.4347 6.4347 5.2875 Å, 90.00 90.00 90.00°
Fractional positions:
Sr: 0.0000 0.0000 0.0000
Li: 0.0000 0.5000 0.0000
Li: 0.5000 0.0000 0.0000
Tl: 0.5000 0.5000 0.5000
Cl: 0.0000 0.0000 0.5000

Summary:
- E (eV per atom) = -21.573

=====

The following is a DFT calculation (SCAN) of a PBEsol-optimized structure of KScW2O8.

Cell: 7.3575 7.3575 7.3211 Å, 118.68 118.68 86.06°
Fractional positions:
K: 0.2042 0.7958 0.7500
K: 0.7958 0.2042 0.2500
Sc: 0.2247 0.7753 0.2500
Sc: 0.7753 0.2247 0.7500
W: 0.3004 0.3023 0.2778
W: 0.3023 0.3004 0.7778
W: 0.6977 0.6996 0.2222
W: 0.6996 0.6977 0.7222
O: 0.0329 0.2422 0.7045
O: 0.0421 0.3424 0.1037
O: 0.2377 0.3815 0.5556
O: 0.2422 0.0329 0.2045
O: 0.3424 0.0421 0.6037
O: 0.3742 0.6036 0.0487
O: 0.3815 0.2377 0.0556
O: 0.3964 0.6258 0.4513
O: 0.6036 0.3742 0.5487
O: 0.6185 0.7623 0.9444
O: 0.6258 0.3964 0.9513
O: 0.6576 0.9579 0.3963
O: 0.7578 0.9671 0.7955
O: 0.7623 0.6185 0.4444
O: 0.9579 0.6576 0.8963
O: 0.9671 0.7578 0.2955

Summary:
- E (eV per atom) = -20.328

=====

The following is a DFT calculation (SCAN) of a PBEsol-optimized structure of SrHgOs2.

Cell: 5.5222 5.5222 2.6661 Å, 90.00 90.00 114.37°
Fractional positions:
Sr: 0.0000 0.0000 0.0000
Hg: 0.5000 0.5000 0.0000
Os: 0.0000 0.5000 0.5000
Os: 0.5000 0.0000 0.5000

Summary:
- E_form (eV per atom) = 1.174

=====

The following is a DFT calculation (SCAN) of a PBEsol-optimized structure of YOsCl.

Cell: 4.6773 4.6773 4.6773 Å, 60.00 60.00 60.00°
Fractional positions:
Y: 0.0000 0.0000 0.0000
Os: 0.2500 0.2500 0.2500
Cl: 0.7500 0.7500 0.7500

Summary:
- E (eV per atom) = -35.541

=====

The following is a DFT calculation (SCAN) of a PBEsol-optimized structure of K2CoH12S2O14.

Cell: 6.1492 11.9358 8.9398 Å, 90.00 103.26 90.00°
Fractional positions:
K: 0.1693 0.1625 0.3675
K: 0.1693 0.3375 0.8675
K: 0.8307 0.6625 0.1325
K: 0.8307 0.8375 0.6325
Co: 0.5000 0.0000 0.0000
Co: 0.5000 0.5000 0.5000
H: 0.1657 0.6438 0.4716
H: 0.1657 0.8562 0.9716
H: 0.1712 0.5619 0.6173
H: 0.1712 0.9381 0.1173
H: 0.1765 0.0836 0.7776
H: 0.1765 0.4164 0.2776
H: 0.4119 0.6016 0.2250
H: 0.4119 0.8984 0.7250
H: 0.4127 0.1225 0.7452
H: 0.4127 0.3775 0.2452
H: 0.4881 0.6951 0.3536
H: 0.4881 0.8049 0.8536
H: 0.5119 0.1951 0.1464
H: 0.5119 0.3049 0.6464
H: 0.5873 0.6225 0.7548
H: 0.5873 0.8775 0.2548
H: 0.5881 0.1016 0.2750
H: 0.5881 0.3984 0.7750
H: 0.8235 0.5836 0.7224
H: 0.8235 0.9164 0.2224
H: 0.8288 0.0619 0.8827
H: 0.8288 0.4381 0.3827
H: 0.8343 0.1438 0.0284
H: 0.8343 0.3562 0.5284
S: 0.2166 0.6354 0.9112
S: 0.2166 0.8646 0.4112
S: 0.7834 0.1354 0.5888
S: 0.7834 0.3646 0.0888
O: 0.0720 0.7365 0.9027
O: 0.0720 0.7635 0.4027
O: 0.1093 0.5577 0.7846
O: 0.1093 0.9423 0.2846
O: 0.2136 0.5679 0.5157
O: 0.2136 0.9321 0.0157
O: 0.2350 0.5778 0.0598
O: 0.2350 0.9222 0.5598
O: 0.3287 0.1123 0.8273
O: 0.3287 0.3877 0.3273
O: 0.4429 0.6688 0.8914
O: 0.4429 0.8312 0.3914
O: 0.4758 0.1177 0.1765
O: 0.4758 0.3823 0.6765
O: 0.5242 0.6177 0.3235
O: 0.5242 0.8823 0.8235
O: 0.5571 0.1688 0.6086
O: 0.5571 0.3312 0.1086
O: 0.6713 0.6123 0.6727
O: 0.6713 0.8877 0.1727
O: 0.7650 0.0778 0.4402
O: 0.7650 0.4222 0.9402
O: 0.7864 0.0679 0.9843
O: 0.7864 0.4321 0.4843
O: 0.8907 0.0577 0.7154
O: 0.8907 0.4423 0.2154
O: 0.9280 0.2365 0.5973
O: 0.9280 0.2635 0.0973

Summary:
- E (eV per atom) = -7.268